# Ca2ZnCd

A relaxed structure of Ca2ZnCd (PBEsol, the Alexandria database).

Results
Energy relative to the elements in eV per formula unit: -0.87
Calculated total energy in eV/cell: -7.917
Symmetry: No. 8

abc: 6.0871 6.0871 5.3078
angles: 111.19 111.19 33.88
Last column: nearest neighbours and their distance in Å.
Fractional coordinates of all 4 atoms:
Ca  0.0000  0.0000  0.0000  3 Zn 3.16-3.53, 4 Cd 3.25-3.28, 2 Ca 3.42-3.43
Ca  0.2004  0.2004  0.6673  4 Zn 3.20-3.25, 3 Cd 3.37, 4 Ca 3.42-3.55
Zn  0.7426  0.7426  0.1965  2 Cd 2.77
Cd  0.4347  0.4347  0.4424  2 Zn 2.77

---

# CaZnCd

A relaxed structure of CaZnCd (PBEsol, the Alexandria database).

Results
Energy relative to the elements in eV per formula unit: -0.85
Calculated total energy in eV/cell: -5.759
Symmetry: No. 187

abc: 4.6909 4.6909 3.5744
angles: 90.00 90.00 120.00
Last column: nearest neighbours and their distance in Å.
Fractional coordinates of all 3 atoms:
Ca  0.0000  0.0000  0.0000  6 Cd 3.24, 6 Zn 3.24, 2 Ca 3.57
Zn  0.6667  0.3333  0.5000  3 Cd 2.71
Cd  0.3333  0.6667  0.5000  3 Zn 2.71

---

# Ca2ZnCd

A relaxed structure of Ca2ZnCd (PBEsol, the Alexandria database).

Results
Energy relative to the elements in eV per formula unit: -1.11
Calculated total energy in eV/cell: -8.154
Symmetry: No. 225

abc: 5.2193 5.2193 5.2193
angles: 60.00 60.00 60.00
Last column: nearest neighbours and their distance in Å.
Fractional coordinates of all 4 atoms:
Ca  0.2500  0.2500  0.2500  4 Cd 3.20, 4 Zn 3.20
Ca  0.7500  0.7500  0.7500  4 Cd 3.20, 4 Zn 3.20
Zn  0.0000  0.0000  0.0000  8 Ca 3.20
Cd  0.5000  0.5000  0.5000  8 Ca 3.20

---

# CaZn2Cd

A relaxed structure of CaZn2Cd (PBEsol, the Alexandria database).

Results
Energy relative to the elements in eV per formula unit: -0.72
Calculated total energy in eV/cell: -7.218
Symmetry: No. 160

abc: 5.7614 5.7614 5.7614
angles: 44.77 44.77 44.77
Last column: nearest neighbours and their distance in Å.
Fractional coordinates of all 4 atoms:
Ca  0.0000  0.0000  0.0000  4 Cd 3.20-3.21, 7 Zn 3.20-3.22
Zn  0.4612  0.4612  0.4612  3 Zn 2.53, 3 Cd 2.81
Zn  0.7930  0.7930  0.7930  3 Zn 2.53, 3 Cd 2.82
Cd  0.2060  0.2060  0.2060  6 Zn 2.81-2.82

---

# CaZn3Cd

A relaxed structure of CaZn3Cd (PBEsol, the Alexandria database).

Results
Energy relative to the elements in eV per formula unit: 4.47
Calculated total energy in eV/cell: -3.602
Symmetry: No. 221

abc: 5.4943 5.4943 5.4943
angles: 90.00 90.00 90.00
Last column: nearest neighbours and their distance in Å.
Fractional coordinates of all 5 atoms:
Ca  0.0000  0.0000  0.0000  6 Zn 2.75
Zn  0.0000  0.0000  0.5000  2 Ca 2.75
Zn  0.0000  0.5000  0.0000  2 Ca 2.75
Zn  0.5000  0.0000  0.0000  2 Ca 2.75
Cd  0.5000  0.5000  0.5000  12 Zn 3.89

---

# Ca2ZnCd

A relaxed structure of Ca2ZnCd (PBEsol, the Alexandria database).

Results
Energy relative to the elements in eV per formula unit: -1.11
Calculated total energy in eV/cell: -8.153
Symmetry: No. 123

abc: 5.2177 5.2177 3.6992
angles: 90.00 90.00 90.00
Last column: nearest neighbours and their distance in Å.
Fractional coordinates of all 4 atoms:
Ca  0.0000  0.5000  0.0000  4 Cd 3.20, 4 Zn 3.20
Ca  0.5000  0.0000  0.0000  4 Cd 3.20, 4 Zn 3.20
Zn  0.0000  0.0000  0.5000  8 Ca 3.20
Cd  0.5000  0.5000  0.5000  8 Ca 3.20

---

# CaCeFe8Sb24

A relaxed structure of CaCeFe8Sb24 (PBEsol, the Alexandria database).

Results
Calculated total energy in eV/cell: -197.985
Symmetry: No. 12

abc: 7.8257 7.8257 12.7826
angles: 90.00 90.00 70.54
Last column: nearest neighbours and their distance in Å.
Fractional coordinates of all 34 atoms:
Ca  0.0000  0.0000  0.0000  12 Sb 3.35-3.36
Ce  0.5000  0.5000  0.5000  12 Sb 3.35-3.36
Fe  0.0000  0.5000  0.0000  6 Sb 2.51-2.52
Fe  0.0000  0.5000  0.5000  6 Sb 2.50-2.51
Fe  0.2509  0.7492  0.2517  6 Sb 2.49-2.52
Fe  0.2508  0.7491  0.7483  6 Sb 2.49-2.52
Fe  0.5000  0.0000  0.0000  6 Sb 2.51-2.52
Fe  0.5000  0.0000  0.5000  6 Sb 2.50-2.51
Fe  0.7492  0.2509  0.2517  6 Sb 2.49-2.52
Fe  0.7491  0.2508  0.7483  6 Sb 2.49-2.52
Sb  0.0036  0.3290  0.1667  2 Fe 2.51-2.52
Sb  0.0852  0.0852  0.7517  2 Fe 2.52
Sb  0.0848  0.7512  0.5814  2 Fe 2.49-2.50
Sb  0.1694  0.4958  0.3329  2 Fe 2.50-2.51
Sb  0.2478  0.2478  0.9147  2 Fe 2.51
Sb  0.2488  0.9152  0.4186  2 Fe 2.49-2.50
Sb  0.2511  0.2511  0.5855  2 Fe 2.51
Sb  0.2533  0.5846  0.0816  2 Fe 2.52
Sb  0.3290  0.0036  0.1667  2 Fe 2.51-2.52
Sb  0.4145  0.4145  0.7484  2 Fe 2.50
Sb  0.4154  0.7467  0.9184  2 Fe 2.52
Sb  0.4958  0.1694  0.3329  2 Fe 2.50-2.51
Sb  0.5042  0.8306  0.6671  2 Fe 2.50-2.51
Sb  0.5846  0.2533  0.0816  2 Fe 2.52
Sb  0.5855  0.5855  0.2516  2 Fe 2.50
Sb  0.6710  0.9964  0.8333  2 Fe 2.51-2.52
Sb  0.7467  0.4154  0.9184  2 Fe 2.52
Sb  0.7489  0.7489  0.4145  2 Fe 2.51
Sb  0.7512  0.0848  0.5814  2 Fe 2.49-2.50
Sb  0.7522  0.7522  0.0853  2 Fe 2.51
Sb  0.8306  0.5042  0.6671  2 Fe 2.50-2.51
Sb  0.9152  0.2488  0.4186  2 Fe 2.49-2.50
Sb  0.9148  0.9148  0.2483  2 Fe 2.52
Sb  0.9964  0.6710  0.8333  2 Fe 2.51-2.52

---

# CaCeHg2

A relaxed structure of CaCeHg2 (PBEsol, the Alexandria database).

Results
Energy relative to the elements in eV per formula unit: -1.87
Calculated total energy in eV/cell: -11.737
Symmetry: No. 225

abc: 5.2696 5.2696 5.2696
angles: 60.00 60.00 60.00
Last column: nearest neighbours and their distance in Å.
Fractional coordinates of all 4 atoms:
Ca  0.0000  0.0000  0.0000  8 Hg 3.23
Ce  0.5000  0.5000  0.5000  8 Hg 3.23
Hg  0.2500  0.2500  0.2500  4 Ce 3.23, 4 Ca 3.23
Hg  0.7500  0.7500  0.7500  4 Ce 3.23, 4 Ca 3.23

---

# CaCeV2O8

A relaxed structure of CaCeV2O8 (PBEsol, the Alexandria database).

Results
Calculated total energy in eV/cell: -104.275
Symmetry: No. 119

abc: 5.9804 5.9804 5.9804
angles: 106.16 106.16 116.31
Last column: nearest neighbours and their distance in Å.
Fractional coordinates of all 12 atoms:
Ca  0.0000  0.0000  0.0000  8 O 2.35-2.50
Ce  0.2500  0.7500  0.5000  8 O 2.30-2.40
V  0.5000  0.5000  0.0000  4 O 1.71
V  0.7500  0.2500  0.5000  4 O 1.71
O  0.3332  0.1455  0.8123  1 V 1.71
O  0.3332  0.5209  0.1877  1 V 1.71
O  0.3923  0.0716  0.3207  1 V 1.71
O  0.4791  0.6668  0.8123  1 V 1.71
O  0.7509  0.0716  0.6793  1 V 1.71
O  0.8545  0.6668  0.1877  1 V 1.71
O  0.9284  0.2491  0.3207  1 V 1.71
O  0.9284  0.6077  0.6793  1 V 1.71

---

# CaCe3V4O16

A relaxed structure of CaCe3V4O16 (PBEsol, the Alexandria database).

Results
Calculated total energy in eV/cell: -214.640
Symmetry: No. 115

abc: 7.2297 7.2297 6.3782
angles: 90.00 90.00 90.00
Last column: nearest neighbours and their distance in Å.
Fractional coordinates of all 24 atoms:
Ca  0.0000  0.0000  0.0000  8 O 2.37-2.52
Ce  0.0000  0.5000  0.2509  8 O 2.33-2.47
Ce  0.5000  0.0000  0.7491  8 O 2.33-2.47
Ce  0.5000  0.5000  0.5000  8 O 2.34-2.46
V  0.0000  0.0000  0.5000  4 O 1.72
V  0.0000  0.5000  0.7524  4 O 1.69-1.74
V  0.5000  0.0000  0.2476  4 O 1.69-1.74
V  0.5000  0.5000  0.0000  4 O 1.72
O  0.0000  0.1866  0.3339  1 V 1.72
O  0.0000  0.3210  0.9238  1 V 1.69
O  0.0000  0.6790  0.9238  1 V 1.69
O  0.0000  0.8134  0.3339  1 V 1.72
O  0.1839  0.5000  0.5772  1 V 1.74
O  0.1866  0.0000  0.6661  1 V 1.72
O  0.3183  0.5000  0.1737  1 V 1.72
O  0.3210  0.0000  0.0762  1 V 1.69
O  0.5000  0.1839  0.4228  1 V 1.74
O  0.5000  0.3183  0.8263  1 V 1.72
O  0.5000  0.6817  0.8263  1 V 1.72
O  0.5000  0.8161  0.4228  1 V 1.74
O  0.6790  0.0000  0.0762  1 V 1.69
O  0.6817  0.5000  0.1737  1 V 1.72
O  0.8134  0.0000  0.6661  1 V 1.72
O  0.8161  0.5000  0.5772  1 V 1.74

---

# CaCePd2

A relaxed structure of CaCePd2 (PBEsol, the Alexandria database).

Results
Energy relative to the elements in eV per formula unit: -2.26
Calculated total energy in eV/cell: -22.903
Symmetry: No. 225

abc: 4.9342 4.9342 4.9342
angles: 60.00 60.00 60.00
Last column: nearest neighbours and their distance in Å.
Fractional coordinates of all 4 atoms:
Ca  0.0000  0.0000  0.0000  8 Pd 3.02
Ce  0.5000  0.5000  0.5000  8 Pd 3.02
Pd  0.2500  0.2500  0.2500  4 Ce 3.02, 4 Ca 3.02
Pd  0.7500  0.7500  0.7500  4 Ce 3.02, 4 Ca 3.02

---

# CaCeRh2

A relaxed structure of CaCeRh2 (PBEsol, the Alexandria database).

Results
Energy relative to the elements in eV per formula unit: -1.83
Calculated total energy in eV/cell: -26.835
Symmetry: No. 225

abc: 4.7829 4.7829 4.7829
angles: 60.00 60.00 60.00
Last column: nearest neighbours and their distance in Å.
Fractional coordinates of all 4 atoms:
Ca  0.0000  0.0000  0.0000  8 Rh 2.93
Ce  0.5000  0.5000  0.5000  8 Rh 2.93
Rh  0.2500  0.2500  0.2500  4 Ce 2.93, 4 Ca 2.93
Rh  0.7500  0.7500  0.7500  4 Ce 2.93, 4 Ca 2.93